[1]
An optimized crystal structure of MgAsCBr2. Source: the Alexandria database, functional PBE.

Energy above the most stable polymorph in this dataset in eV/atom: 0.441
Mass density in g/cm3: 3.20

Structure (POSCAR):
```
MgAsCBr2
1.0
5.130 0.000 0.000
0.000 5.130 0.000
0.000 0.000 5.346
Mg As C Br
1 1 1 2
Direct
0.000 0.000 0.000
0.000 0.000 0.500
0.500 0.500 0.500
0.000 0.500 0.000
0.500 0.000 0.000
```


[2]
An optimized crystal structure of MgAsCBr2. Source: the Alexandria database, functional PBE.

Energy above the most stable polymorph in this dataset in eV/atom: 0.000
Mass density in g/cm3: 4.41

Structure (POSCAR):
```
MgAsCBr2
1.0
4.803 0.000 0.000
0.000 4.803 0.000
0.000 0.000 4.425
Mg As C Br
1 1 1 2
Direct
0.000 0.000 0.000
0.500 0.500 0.000
0.500 0.500 0.500
0.000 0.500 0.500
0.500 0.000 0.500
```


Question: Number 2 is which compound?
Answer: MgAsCBr2


Question: The highest mass density belongs to which entry?
Answer: number 2


Question: The highest mass density belongs to which entry?
Answer: number 2